Density functional theory data (PBE+U) for CoHgGe2O6 after structural relaxation.

a b c (Å): 5.6429 7.2937 7.2937
angles (deg): 88.36 76.07 76.07
Last column: magnetic moment on the atom in μB.
Positions (direct):
O 0.5927 0.1492 0.6116  0.03
O 0.0927 0.6116 0.1492  0.03
O 0.4073 0.8508 0.3884  0.03
O 0.9846 0.3085 0.3899  0.01
O 0.6698 0.7817 0.9835  0.04
O 0.9073 0.3884 0.8508  0.03
O 0.3302 0.2183 0.0165  0.04
O 0.4846 0.3899 0.3085  0.01
O 0.1698 0.9835 0.7817  0.04
O 0.8302 0.0165 0.2183  0.04
O 0.0154 0.6915 0.6101  0.01
O 0.5154 0.6101 0.6915  0.01
Ge 0.2779 0.7876 0.6167  0.01
Ge 0.2221 0.3833 0.2124  0.01
Ge 0.7221 0.2124 0.3833  0.01
Ge 0.7779 0.6167 0.7876  0.01
Co 0.7500 0.7490 0.2510  2.71
Co 0.2500 0.2510 0.7490  2.71
Hg 0.2500 0.8947 0.1053  0.00
Hg 0.7500 0.1053 0.8947  0.00

Total energy (eV/atom): -5.6444
ρ (g/cm³): 5.9
Crystal system: monoclinic